(1)
Compound: AlRe2TcP
Source: the Alexandria database
Functional: SCAN
Structure: PBEsol geometry

abc: 4.332 4.332 4.296
angles: 90.00 90.00 90.00
Sites, in units of the cell vectors:
Al 0.000 0.000 0.000
Re 0.000 0.500 0.500
Re 0.500 0.000 0.500
Tc 0.500 0.500 0.000
P 0.500 0.500 0.500

## Properties
- ΔE_f: 3.2 eV per formula unit



(2)
Compound: AlPRh
Source: the Alexandria database
Functional: SCAN
Structure: PBEsol geometry

abc: 3.960 3.960 3.960
angles: 60.00 60.00 60.00
Sites, in units of the cell vectors:
Al 0.000 0.000 0.000
P 0.250 0.250 0.250
Rh 0.500 0.500 0.500

## Properties
- ΔE_f: -1.2 eV per formula unit



(3)
Compound: Al2PRh
Source: the Alexandria database
Functional: SCAN
Structure: PBEsol geometry

abc: 4.324 4.324 4.324
angles: 60.00 60.00 60.00
Sites, in units of the cell vectors:
Al 0.000 0.000 0.000
Al 0.250 0.250 0.250
P 0.750 0.750 0.750
Rh 0.500 0.500 0.500

## Properties
- ΔE_f: -0.7 eV per formula unit



(4)
Compound: Al2PRh
Source: the Alexandria database
Functional: SCAN
Structure: PBEsol geometry

abc: 4.634 4.634 4.634
angles: 134.24 127.88 71.84
Sites, in units of the cell vectors:
Al 0.243 0.243 0.000
Al 0.757 0.757 0.000
P 0.000 0.500 0.500
Rh 0.500 0.000 0.500

## Properties
- ΔE_f: -1.7 eV per formula unit



(5)
Compound: AlPRh2Se
Source: the Alexandria database
Functional: SCAN
Structure: PBEsol geometry

abc: 4.524 4.524 4.610
angles: 90.00 90.00 90.00
Sites, in units of the cell vectors:
Al 0.000 0.000 0.000
P 0.500 0.500 0.000
Rh 0.000 0.500 0.500
Rh 0.500 0.000 0.500
Se 0.000 0.000 0.500

## Properties
- Formation energy without anion corrections: 0.8380 eV per atom



(6)
Compound: AlPRu2
Source: the Alexandria database
Functional: SCAN
Structure: PBEsol geometry

abc: 5.642 5.642 5.642
angles: 150.36 142.14 48.81
Sites, in units of the cell vectors:
Al 0.000 0.000 0.000
P 0.241 0.741 0.500
Ru 0.415 0.415 0.000
Ru 0.676 0.176 0.500

## Properties
- Excess energy over the best structure of this formula in the dataset: 0.071 eV/atom
- ΔE_f: -2.2 eV per formula unit



(7)
Compound: AlP2Ru
Source: the Alexandria database
Functional: SCAN
Structure: PBEsol geometry

abc: 3.033 4.730 3.892
angles: 90.00 90.00 90.00
Sites, in units of the cell vectors:
Al 0.000 0.000 0.000
P 0.000 0.500 0.788
P 0.500 0.000 0.488
Ru 0.500 0.500 0.325

## Properties
- ΔE_f: -0.6 eV per formula unit



(8)
Compound: AlPRu2
Source: the Alexandria database
Functional: SCAN
Structure: PBEsol geometry

abc: 4.145 2.862 4.835
angles: 90.00 114.37 90.00
Sites, in units of the cell vectors:
Al 0.000 0.000 0.000
P 0.000 0.500 0.500
Ru 0.500 0.000 0.500
Ru 0.500 0.500 0.000

## Properties
- Excess energy over the best structure of this formula in the dataset: 0.209 eV/atom
- ΔE_f: -1.7 eV per formula unit



(9)
Compound: Al2PRu
Source: the Alexandria database
Functional: SCAN
Structure: PBEsol geometry

abc: 4.523 4.523 4.390
angles: 96.83 96.83 38.13
Sites, in units of the cell vectors:
Al 0.000 0.000 0.000
Al 0.236 0.236 0.721
P 0.760 0.760 0.248
Ru 0.490 0.490 0.489

## Properties
- ΔE_f: -1.5 eV per formula unit



(10)
Compound: AlP2Ru
Source: the Alexandria database
Functional: SCAN
Structure: PBEsol geometry

abc: 4.242 4.242 4.242
angles: 60.00 60.00 60.00
Sites, in units of the cell vectors:
Al 0.000 0.000 0.000
P 0.500 0.500 0.500
P 0.750 0.750 0.750
Ru 0.250 0.250 0.250

## Properties
- ΔE_f: 1.2 eV per formula unit



(11)
Compound: Al2PRu
Source: the Alexandria database
Functional: SCAN
Structure: PBEsol geometry

abc: 4.743 4.743 4.743
angles: 139.88 126.64 68.80
Sites, in units of the cell vectors:
Al 0.239 0.239 0.000
Al 0.761 0.761 0.000
P 0.000 0.500 0.500
Ru 0.500 0.000 0.500

## Properties
- ΔE_f: -1.2 eV per formula unit



(12)
Compound: Al2PRu
Source: the Alexandria database
Functional: SCAN
Structure: PBEsol geometry

abc: 3.168 3.168 5.339
angles: 90.00 90.00 90.00
Sites, in units of the cell vectors:
Al 0.000 0.000 0.246
Al 0.000 0.000 0.754
P 0.500 0.500 0.000
Ru 0.500 0.500 0.500

## Properties
- ΔE_f: -1.9 eV per formula unit



(13)
Compound: AlP3Ru
Source: the Alexandria database
Functional: SCAN
Structure: PBEsol geometry

abc: 4.426 4.426 4.426
angles: 90.00 90.00 90.00
Sites, in units of the cell vectors:
Al 0.000 0.000 0.000
P 0.000 0.000 0.500
P 0.000 0.500 0.000
P 0.500 0.000 0.000
Ru 0.500 0.500 0.500

## Properties
- ΔE_f: 6.3 eV per formula unit



(14)
Compound: Al2PRu
Source: the Alexandria database
Functional: SCAN
Structure: PBEsol geometry

abc: 4.269 4.269 4.269
angles: 60.00 60.00 60.00
Sites, in units of the cell vectors:
Al 0.000 0.000 0.000
Al 0.250 0.250 0.250
P 0.750 0.750 0.750
Ru 0.500 0.500 0.500

## Properties
- ΔE_f: -0.4 eV per formula unit



(15)
Compound: AlPRu2
Source: the Alexandria database
Functional: SCAN
Structure: PBEsol geometry

abc: 4.110 4.110 2.954
angles: 90.00 90.00 90.00
Sites, in units of the cell vectors:
Al 0.000 0.000 0.000
P 0.500 0.500 0.000
Ru 0.000 0.500 0.500
Ru 0.500 0.000 0.500

## Properties
- Excess energy over the best structure of this formula in the dataset: 0.000 eV/atom
- ΔE_f: -2.5 eV per formula unit



(16)
Compound: AlSbPS2
Source: the Alexandria database
Functional: SCAN
Structure: PBEsol geometry

abc: 4.922 4.922 4.997
angles: 90.00 90.00 90.00
Sites, in units of the cell vectors:
Al 0.000 0.000 0.000
Sb 0.500 0.500 0.500
P 0.500 0.500 0.000
S 0.000 0.500 0.500
S 0.500 0.000 0.500

## Properties
- Formation energy without anion corrections: 0.7382 eV per atom



(17)
Compound: SrAlPS2
Source: the Alexandria database
Functional: SCAN
Structure: PBEsol geometry

abc: 4.781 4.781 4.576
angles: 90.00 90.00 90.00
Sites, in units of the cell vectors:
Sr 0.000 0.000 0.000
Al 0.500 0.500 0.500
P 0.500 0.500 0.000
S 0.000 0.500 0.500
S 0.500 0.000 0.500

## Properties
- Formation energy without anion corrections: -0.8714 eV per atom



(18)
Compound: AlPWS2
Source: the Alexandria database
Functional: SCAN
Structure: PBEsol geometry

abc: 4.432 4.432 4.509
angles: 90.00 90.00 90.00
Sites, in units of the cell vectors:
Al 0.000 0.000 0.000
P 0.000 0.000 0.500
W 0.500 0.500 0.500
S 0.000 0.500 0.000
S 0.500 0.000 0.000

## Properties
- Formation energy without anion corrections: 0.9453 eV per atom



(19)
Compound: AlZnPS2
Source: the Alexandria database
Functional: SCAN
Structure: PBEsol geometry

abc: 4.489 4.489 4.837
angles: 90.00 90.00 90.00
Sites, in units of the cell vectors:
Al 0.000 0.000 0.000
Zn 0.000 0.000 0.500
P 0.500 0.500 0.000
S 0.000 0.500 0.500
S 0.500 0.000 0.500

## Properties
- Formation energy without anion corrections: 0.8853 eV per atom



(20)
Compound: Al2SbP
Source: the Alexandria database
Functional: SCAN
Structure: PBEsol geometry

abc: 3.673 3.673 6.955
angles: 105.15 105.15 59.70
Sites, in units of the cell vectors:
Al 0.236 0.236 0.207
Al 0.764 0.764 0.793
Sb 0.000 0.000 0.500
P 0.500 0.500 0.000

## Properties
- Formation energy without anion corrections: -0.1482 eV per atom
- Excess energy over the best structure of this formula in the dataset: 0.008 eV/atom



(21)
Compound: Al2SbP
Source: the Alexandria database
Functional: SCAN
Structure: PBEsol geometry

abc: 3.587 3.587 6.506
angles: 90.00 90.00 90.00
Sites, in units of the cell vectors:
Al 0.000 0.000 0.000
Al 0.500 0.500 0.404
Sb 0.500 0.500 0.830
P 0.000 0.000 0.359

## Properties
- Formation energy without anion corrections: -0.1248 eV per atom
- Excess energy over the best structure of this formula in the dataset: 0.031 eV/atom



(22)
Compound: AlSbP
Source: the Alexandria database
Functional: SCAN
Structure: PBEsol geometry

abc: 4.503 4.503 4.503
angles: 60.00 60.00 60.00
Sites, in units of the cell vectors:
Al 0.000 0.000 0.000
Sb 0.500 0.500 0.500
P 0.750 0.750 0.750

## Properties
- Formation energy without anion corrections: 0.4481 eV per atom
- Excess energy over the best structure of this formula in the dataset: 0.421 eV/atom



(23)
Compound: Al2SbP
Source: the Alexandria database
Functional: SCAN
Structure: PBEsol geometry

abc: 5.935 5.935 5.935
angles: 142.57 142.57 53.97
Sites, in units of the cell vectors:
Al 0.000 0.000 0.000
Al 0.750 0.250 0.500
Sb 0.250 0.750 0.500
P 0.500 0.500 0.000

## Properties
- Formation energy without anion corrections: 0.3128 eV per atom
- Excess energy over the best structure of this formula in the dataset: 0.469 eV/atom



(24)
Compound: AlSbP
Source: the Alexandria database
Functional: SCAN
Structure: PBEsol geometry

abc: 5.835 5.835 5.835
angles: 145.89 145.89 49.02
Sites, in units of the cell vectors:
Al 0.000 0.000 0.000
Sb 0.692 0.692 0.000
P 0.447 0.447 0.000

## Properties
- Formation energy without anion corrections: 0.0272 eV per atom
- Excess energy over the best structure of this formula in the dataset: 0.000 eV/atom



(25)
Compound: Al2SbP
Source: the Alexandria database
Functional: SCAN
Structure: PBEsol geometry

abc: 3.224 3.224 7.018
angles: 90.00 90.00 90.00
Sites, in units of the cell vectors:
Al 0.000 0.000 0.194
Al 0.000 0.000 0.806
Sb 0.500 0.500 0.500
P 0.500 0.500 0.000

## Properties
- Formation energy without anion corrections: 0.1311 eV per atom
- Excess energy over the best structure of this formula in the dataset: 0.287 eV/atom



(26)
Compound: Al2SbP
Source: the Alexandria database
Functional: SCAN
Structure: PBEsol geometry

abc: 4.719 4.719 4.663
angles: 109.84 109.84 107.70
Sites, in units of the cell vectors:
Al 0.000 0.500 0.000
Al 0.500 0.000 0.000
Sb 0.000 0.000 0.500
P 0.500 0.500 0.500

## Properties
- Formation energy without anion corrections: 0.1801 eV per atom
- Excess energy over the best structure of this formula in the dataset: 0.336 eV/atom



(27)
Compound: Al2SbP
Source: the Alexandria database
Functional: SCAN
Structure: PBEsol geometry

abc: 4.032 4.032 6.629
angles: 90.05 90.05 51.36
Sites, in units of the cell vectors:
Al 0.000 0.000 0.000
Al 0.174 0.174 0.576
Sb 0.707 0.707 0.238
P 0.477 0.477 0.735

## Properties
- Formation energy without anion corrections: -0.1560 eV per atom
- Excess energy over the best structure of this formula in the dataset: 0.000 eV/atom



(28)
Compound: Al2Sb5P6
Source: the Alexandria database
Functional: SCAN
Structure: PBEsol geometry

abc: 9.322 18.096 3.839
angles: 90.00 90.00 90.00
Sites, in units of the cell vectors:
Al 0.228 0.120 0.000
Al 0.272 0.620 0.000
Al 0.728 0.380 0.000
Al 0.772 0.880 0.000
Sb 0.000 0.000 0.500
Sb 0.100 0.435 0.500
Sb 0.131 0.766 0.500
Sb 0.369 0.266 0.500
Sb 0.400 0.935 0.500
Sb 0.500 0.500 0.500
Sb 0.600 0.065 0.500
Sb 0.631 0.734 0.500
Sb 0.869 0.234 0.500
Sb 0.900 0.565 0.500
P 0.042 0.678 0.000
P 0.090 0.147 0.500
P 0.224 0.986 0.000
P 0.276 0.486 0.000
P 0.410 0.647 0.500
P 0.458 0.178 0.000
P 0.542 0.822 0.000
P 0.590 0.353 0.500
P 0.724 0.514 0.000
P 0.776 0.014 0.000
P 0.910 0.853 0.500
P 0.958 0.322 0.000

## Properties
- Formation energy without anion corrections: 0.0022 eV per atom



(29)
Compound: Al2SbP
Source: the Alexandria database
Functional: SCAN
Structure: PBEsol geometry

abc: 3.275 3.275 7.420
angles: 90.00 90.00 107.81
Sites, in units of the cell vectors:
Al 0.000 0.000 0.204
Al 0.000 0.000 0.796
Sb 0.500 0.500 0.500
P 0.500 0.500 0.000

## Properties
- Formation energy without anion corrections: 0.1787 eV per atom
- Excess energy over the best structure of this formula in the dataset: 0.335 eV/atom



no.,spin magnetization (Bohr magnetons per cell),D(E_F) (states/eV per cell)
1,0.007,4.61
2,0.000,1.50
3,0.000,1.48
4,0.000,1.33
5,0.000,3.86
6,0.000,1.62
7,0.000,1.87
8,0.000,2.11
9,0.000,1.35
10,0.000,2.40
11,0.000,1.61
12,0.000,1.36
13,0.002,5.60
14,0.000,1.45
15,0.000,0.95
16,0.000,2.56
17,0.000,3.16
18,2.330,1.82
19,0.002,4.92
20,0.000,1.36
21,0.000,1.18
22,0.000,1.78
23,0.000,1.66
24,0.000,0.69
25,0.000,1.80
26,0.000,1.76
27,0.000,0.88
28,0.000,4.82
29,0.001,1.99